Entry 1:
This record from Alexandria describes crystalline WSeBr2 at its relaxed geometry. The functional is PBE.

## Properties
formation energy (no corrections) = 0.621 eV/atom
spin magnetization = 0.0000 μB per atom

a b c (Å): 3.0575 3.0575 37.5075
angles (deg): 90.00 90.00 120.00
Space group R-3m (No. 166, hexagonal axes)
Inequivalent atoms, fractional coordinates:
W1 0.0000 0.0000 0.0000
Se1 0.0000 0.0000 0.5000
Br1 0.0000 0.0000 0.0645

***

Entry 2:
This record from Alexandria describes crystalline WSe2Br at its relaxed geometry. The functional is PBE.

## Properties
formation energy (no corrections) = 0.962 eV/atom
spin magnetization = 0.1430 μB per atom

a b c (Å): 5.149 9.099 3.387
angles (deg): 90.00 90.00 90.00
Space group Cmmm (No. 65)
Inequivalent atoms, fractional coordinates:
W1 0.000 0.000 0.000
Se1 0.250 0.250 0.500
Br1 0.000 0.500 0.000

***

Entry 3:
This record from Alexandria describes crystalline W3Se6Br at its relaxed geometry. The functional is PBE.

## Properties
formation energy (no corrections) = -0.343 eV/atom
spin magnetization = 0.0000 μB per atom

a b c (Å): 11.261 3.312 13.446
angles (deg): 90.00 94.46 90.00
Space group P2_1/m (No. 11)
Inequivalent atoms, fractional coordinates:
W1 0.095 0.250 0.394
W2 0.190 0.750 0.253
W3 0.391 0.250 0.037
Se1 0.026 0.250 0.205
Se2 0.084 0.250 0.590
Se3 0.220 0.750 0.057
Se4 0.261 0.750 0.438
Se5 0.365 0.250 0.231
Se6 0.396 0.750 0.894
Br1 0.406 0.250 0.669

***

Entry 4:
This record from Alexandria describes crystalline WSeBr2 at its relaxed geometry. The functional is PBE.

## Properties
formation energy (no corrections) = 1.089 eV/atom
spin magnetization = 0.6621 μB per atom

a b c (Å): 6.307 9.370 3.553
angles (deg): 90.00 123.34 90.00
Space group C2/m (No. 12)
Inequivalent atoms, fractional coordinates:
W1 0.000 0.000 0.000
Se1 0.000 0.500 0.000
Br1 0.250 0.250 0.500

***

Entry 5:
This record from Alexandria describes crystalline WSe2Br at its relaxed geometry. The functional is PBE.

## Properties
formation energy (no corrections) = 1.038 eV/atom
spin magnetization = 0.1191 μB per atom

a b c (Å): 4.571 3.138 5.779
angles (deg): 90.00 110.78 90.00
Space group P2/m (No. 10)
Inequivalent atoms, fractional coordinates:
W1 0.000 0.000 0.000
Se1 0.000 0.500 0.500
Se2 0.500 0.000 0.500
Br1 0.500 0.500 0.000

***

Entry 6:
This record from Alexandria describes crystalline WSeBr2 at its relaxed geometry. The functional is PBE.

## Properties
formation energy (no corrections) = 0.375 eV/atom
spin magnetization = 0.0001 μB per atom

a b c (Å): 3.077 6.221 11.009
angles (deg): 90.00 90.00 90.00
Space group Cmm2 (No. 35)
Inequivalent atoms, fractional coordinates:
W1 0.000 0.000 0.000
Se1 0.000 0.500 0.827
Br1 0.000 0.000 0.507
Br2 0.000 0.500 0.191

***

Entry 7:
This record from Alexandria describes crystalline WSeBr3 at its relaxed geometry. The functional is PBE.

## Properties
formation energy (no corrections) = 0.596 eV/atom
spin magnetization = 0.0001 μB per atom

a b c (Å): 5.032 5.032 5.032
angles (deg): 90.00 90.00 90.00
Space group Pm-3m (No. 221)
Inequivalent atoms, fractional coordinates:
W1 0.000 0.000 0.000
Se1 0.500 0.500 0.500
Br1 0.000 0.000 0.500

***

Entry 8:
This record from Alexandria describes crystalline WSe2Br at its relaxed geometry. The functional is PBE.

## Properties
formation energy (no corrections) = -0.316 eV/atom
spin magnetization = 0.0000 μB per atom

a b c (Å): 6.433 7.156 7.367
angles (deg): 69.32 70.78 64.99
Space group P1 (No. 1)
Inequivalent atoms, fractional coordinates:
W1 0.000 0.000 0.000
W2 0.416 0.845 0.144
Se1 0.095 0.183 0.165
Se2 0.329 0.691 0.934
Se3 0.382 0.600 0.436
Se4 0.646 0.002 0.250
Br1 0.798 0.801 0.871
Br2 0.952 0.272 0.693

***

Entry 9:
This record from Alexandria describes crystalline WSeBr at its relaxed geometry. The functional is PBE.

## Properties
formation energy (no corrections) = 1.451 eV/atom
spin magnetization = 1.0007 μB per atom

a b c (Å): 6.615 6.615 6.615
angles (deg): 90.00 90.00 90.00
Space group F-43m (No. 216)
Inequivalent atoms, fractional coordinates:
W1 0.000 0.000 0.000
Se1 0.250 0.250 0.750
Br1 0.000 0.000 0.500

***

Entry 10:
This record from Alexandria describes crystalline WSe2Br at its relaxed geometry. The functional is PBE.

## Properties
formation energy (no corrections) = -0.250 eV/atom
spin magnetization = 0.0002 μB per atom

a b c (Å): 3.290 6.765 6.838
angles (deg): 62.25 81.05 88.42
Space group P1 (No. 1)
Inequivalent atoms, fractional coordinates:
W1 0.000 0.000 0.000
Se1 0.470 0.250 0.048
Se2 0.586 0.969 0.740
Br1 0.911 0.653 0.336

***

Entry 11:
This record from Alexandria describes crystalline WSe2Br at its relaxed geometry. The functional is PBE.

## Properties
formation energy (no corrections) = -0.336 eV/atom
spin magnetization = 0.0000 μB per atom

a b c (Å): 6.253 6.255 7.092
angles (deg): 70.74 81.36 60.76
Space group P1 (No. 1)
Inequivalent atoms, fractional coordinates:
W1 0.000 0.000 0.000
W2 0.264 0.263 0.000
Se1 0.241 0.123 0.724
Se2 0.269 0.575 0.186
Se3 0.621 0.926 0.187
Se4 0.941 0.238 0.231
Br1 0.614 0.374 0.767
Br2 0.975 0.735 0.766

***

Entry 12:
This record from Alexandria describes crystalline WSe2Br at its relaxed geometry. The functional is PBE.

## Properties
formation energy (no corrections) = -0.198 eV/atom
spin magnetization = 0.0000 μB per atom

a b c (Å): 3.326 6.824 11.725
angles (deg): 89.93 82.73 89.43
Space group P1 (No. 1)
Inequivalent atoms, fractional coordinates:
W1 0.000 0.000 0.000
W2 0.127 0.834 0.504
Se1 0.071 0.167 0.833
Se2 0.204 0.662 0.338
Se3 0.443 0.172 0.121
Se4 0.576 0.665 0.626
Br1 0.518 0.708 0.975
Br2 0.635 0.126 0.476

***

Entry 13:
This record from Alexandria describes crystalline WSe2Br at its relaxed geometry. The functional is PBE.

## Properties
formation energy (no corrections) = 0.808 eV/atom
spin magnetization = 0.0000 μB per atom

a b c (Å): 6.666 6.666 6.666
angles (deg): 90.00 90.00 90.00
Space group Fm-3m (No. 225)
Inequivalent atoms, fractional coordinates:
W1 0.000 0.000 0.000
Se1 0.250 0.250 0.250
Br1 0.000 0.000 0.500

***

Entry 14:
This record from Alexandria describes crystalline WSe2Br at its relaxed geometry. The functional is PBE.

## Properties
formation energy (no corrections) = 0.421 eV/atom
spin magnetization = 0.0005 μB per atom

a b c (Å): 3.474 3.474 7.744
angles (deg): 90.00 90.00 90.00
Space group P4mm (No. 99)
Inequivalent atoms, fractional coordinates:
W1 0.000 0.000 0.000
Se1 0.000 0.000 0.678
Se2 0.500 0.500 0.861
Br1 0.500 0.500 0.251